Density functional theory data (meta-GGA SCAN) for Pr2Sn3 at its PBEsol-relaxed geometry.

Properties
Magnetization = 0.000 μB per formula unit
Calculated formation energy = -825 meV per atom
Energy = -39.708 eV/atom

a = 6.3945 Å, b = 8.3914 Å, c = 11.1205 Å
α = 107.29°, β = 96.63°, γ = 100.04°
Closest atoms and distances in Å follow each position.
Space group P-1 (No. 2)
One atom of each set of equivalent atoms:
Pr  0.0421  0.2485  0.4441  9 Sn 3.21-3.40
Pr  0.1227  0.2552  0.8840  7 Sn 3.12-3.37
Pr  0.3323  0.5313  0.2433  8 Sn 3.21-3.57
Pr  0.4432  0.0682  0.1635  8 Sn 3.19-3.52
Sn  0.0470  0.8542  0.8796  3 Sn 3.02-3.24, 4 Pr 3.27-3.33
Sn  0.1770  0.5380  0.7228  3 Sn 2.94-3.02, 4 Pr 3.23-3.30
Sn  0.2235  0.9052  0.3654  2 Sn 2.92-2.93, 3 Pr 3.12-3.26
Sn  0.3228  0.1020  0.6393  2 Sn 2.92-2.93, 3 Pr 3.16-3.26
Sn  0.3593  0.6648  0.9979  2 Sn 2.94-3.16, 4 Pr 3.25-3.30
Sn  0.4379  0.6715  0.5505  2 Sn 3.01-3.04, 4 Pr 3.19-3.27